(1)
TlAgAu4, PBEsol geometry, DFT meta-GGA SCAN; V = 116 Å³ per cell; energy of formation = 0.009 eV per atom; crystal system = cubic; symmetry = No. 216; total energy = -63.3835 eV/atom
1.0
0.000 3.869 3.869
3.869 0.000 3.869
3.869 3.869 0.000
Tl Ag Au
1 1 4
Cartesian
0.000 0.000 0.000
5.803 5.803 5.803
2.905 2.905 2.905
4.833 4.833 2.905
4.833 2.905 4.833
2.905 4.833 4.833



(2)
YAgAu, PBEsol geometry, DFT meta-GGA SCAN; offset from the most stable computed form = 94 kJ/mol of formula units; V = 69 Å³ per cell; energy of formation = -0.444 eV per atom; crystal system = cubic; symmetry = No. 216; total energy = -43.2328 eV/atom
1.0
0.000 3.263 3.263
3.263 0.000 3.263
3.263 3.263 0.000
Y Ag Au
1 1 1
Cartesian
0.000 0.000 0.000
1.631 1.631 1.631
3.263 3.263 3.263



(3)
YAgAu, PBEsol geometry, DFT meta-GGA SCAN; offset from the most stable computed form = 0 kJ/mol of formula units; V = 61 Å³ per cell; energy of formation = -0.770 eV per atom; crystal system = tetragonal; symmetry = No. 107; total energy = -43.5587 eV/atom
1.0
-1.838 1.838 4.484
1.838 -1.838 4.484
1.838 1.838 -4.484
Y Ag Au
1 1 1
Cartesian
0.000 0.000 0.000
0.000 0.000 2.927
0.000 0.000 5.938



- total energy of number 1 (TlAgAu4)?
  -63.3835 eV/atom